The following is a PBE calculation of Ac8TeIr3Br4 after structural relaxation, from Alexandria.

Unit cell a=9.0482 b=9.0482 c=24.3621 alpha=90.00 beta=90.00 gamma=120.00
Space group R-3m (No. 166, hexagonal axes)
Unique sites:
Ac: 0.0000 0.0000 0.2313 [6 per cell]
Ac: 0.0297 0.5149 0.7666 [18 per cell]
Te: 0.0000 0.0000 0.5000 [3 per cell]
Ir: 0.0000 0.5000 0.5000 [9 per cell]
Br: 0.0000 0.0000 0.0000 [3 per cell]
Br: 0.0000 0.5000 0.0000 [9 per cell]

Volume = 1727.3 Å³/cell
ΔE_f (raw) = -18.805 eV/f.u.
Density = 8.2 g cm⁻³
Energy = -5.506 eV per atom
Total moment = 0.00 μB/f.u.